Entry from Alexandria via LeMat-Bulk: crystalline Ce3FeAu at its relaxed geometry (PBE).

```
10
Lattice="4.5539 -0.0114 -0.0022 -2.2857 5.5984 -1.3635 0.0023 -3.4710 10.0489" Properties=species:S:1:pos:R:3 pbc="T T T"
Ce 2.2663 1.7013 -0.1103
Fe 2.2719 3.5800 0.8306
Ce -0.0075 2.4305 2.2991
Au -0.0069 2.2847 6.0600
Au 2.2774 -0.1687 2.6232
Ce 0.0042 0.4147 8.7935
Ce 2.2780 -0.3145 6.3841
Ce 2.2700 2.5595 4.0314
Fe -0.0014 -1.4640 7.8526
Ce 0.0005 -0.4436 4.6518
```

Results
Space group = No. 2
Total magnetization = 0.004 μB per formula unit
DOS at the Fermi energy = 1.566 states/eV per atom
Energy above the most stable polymorph in this dataset = 0.0682 eV/atom